(1)
Sc2TeP: relaxed, PBEsol.

abc: 7.067 7.067 7.067
angles: 31.26 31.26 31.26
Element x y z (fractional)
Sc1 0.000 0.000 0.000
Sc2 0.195 0.195 0.195
Te1 0.431 0.431 0.431
P1 0.600 0.600 0.600

Calculated values
Energy above the lowest structure with this stoichiometry in eV per atom: 0.024
Formation energy from raw total energies in eV/atom: -1.416
Calculated volume in Å³/cell: 84
Symmetry: R3m, No. 160
Density in g/cm³: 4.89
Raw total energy in eV per formula unit: -28.191



(2)
LiCdIn3: relaxed, PBEsol.

abc: 5.446 5.446 5.446
angles: 90.00 90.00 90.00
Element x y z (fractional)
Li1 0.000 0.000 0.000
Cd1 0.500 0.500 0.500
In1 0.000 0.500 0.500
In2 0.500 0.000 0.500
In3 0.500 0.500 0.000

Calculated values
Energy of formation from the pure elements in eV/atom: 0.35
Calculated volume in Å³/cell: 162
Symmetry: Pm-3m, No. 221
Density in g/cm³: 4.77
Raw total energy in eV per formula unit: -10.369